# PBE LuMgTlPt, optimized geometry
data_LuMgTlPt
_chemical_formula_sum 'Lu1 Mg1 Tl1 Pt1'
_space_group_name_H-M_alt 'P 1'
_space_group_IT_number 1
_cell_length_a 4.8354
_cell_length_b 4.8354
_cell_length_c 4.8354
_cell_angle_alpha 60.00
_cell_angle_beta 60.00
_cell_angle_gamma 60.00
loop_
_space_group_symop_operation_xyz
'x,y,z'
loop_
_atom_site_label
_atom_site_type_symbol
_atom_site_fract_x
_atom_site_fract_y
_atom_site_fract_z
Lu1 Lu 0.0000 0.0000 0.0000
Mg1 Mg 0.7500 0.7500 0.7500
Pt1 Pt 0.5000 0.5000 0.5000
Tl1 Tl 0.2500 0.2500 0.2500
# - space-group type = F-43m
# - energy above the lowest structure with this stoichiometry (meV per atom) = 224.2
# - DFT total energy (Ry/atom) = -0.293